1.
A relaxed structure of GeOs3W. Source: Alexandria via LeMat-Bulk, functional GGA-PBE.

The structure in extended XYZ format:
```
5
Lattice="4.747 0.000 0.000 0.000 4.747 0.000 0.000 0.000 4.747" Properties=species:S:1:pos:R:3 pbc="T T T"
Ge 0.000 0.000 0.000
Os 0.000 2.373 2.373
Os 2.373 0.000 2.373
Os 2.373 2.373 0.000
W 2.373 2.373 2.373
```

## Properties
formation enthalpy at 0 K = 2.2309 eV per atom
DOS(E_F) = 5.818 states/eV per cell


2.
A relaxed structure of Nd6Sm2Dy3In. Source: Alexandria via LeMat-Bulk, functional GGA-PBE.

The structure in extended XYZ format:
```
12
Lattice="3.108 -5.396 0.000 3.108 5.396 0.000 -2.089 0.000 11.707" Properties=species:S:1:pos:R:3 pbc="T T T"
Nd -0.035 1.761 8.776
Nd 0.987 0.000 2.919
Nd -0.035 -1.761 8.776
Nd 4.162 1.761 2.931
Nd 3.139 0.000 8.788
Nd 4.162 -1.761 2.931
Sm 2.063 1.796 5.853
Sm 2.063 -1.796 5.853
Dy 3.108 3.589 0.000
Dy 3.108 0.000 0.000
Dy 3.108 -3.589 0.000
In -1.044 0.000 5.853
```

## Properties
formation enthalpy at 0 K = -0.0461 eV per atom
DOS(E_F) = 13.681 states/eV per cell


3.
A relaxed structure of Ti2SbSe. Source: Alexandria via LeMat-Bulk, functional GGA-PBE.

The structure in extended XYZ format:
```
16
Lattice="7.425 0.000 0.000 0.000 6.640 0.000 -0.011 0.000 6.372" Properties=species:S:1:pos:R:3 pbc="T T T"
Ti 0.765 1.267 0.005
Ti 0.759 2.053 3.191
Ti 2.523 4.662 3.153
Ti 2.517 5.297 6.339
Ti 4.897 1.343 0.033
Ti 4.891 1.977 3.219
Ti 6.655 4.586 3.181
Ti 6.649 5.373 6.367
Sb 2.822 0.614 1.827
Sb 2.817 2.705 5.013
Sb 4.598 3.934 1.359
Sb 4.592 6.025 4.545
Se 0.886 3.827 1.353
Se 0.881 6.133 4.539
Se 6.533 0.507 1.833
Se 6.528 2.813 5.019
```

## Properties
DOS(E_F) = 12.520 states/eV per cell


4.
A relaxed structure of YSi. Source: Alexandria via LeMat-Bulk, functional GGA-PBE.

The structure in extended XYZ format:
```
12
Lattice="7.958 0.000 0.000 0.000 7.958 0.000 0.000 0.000 7.958" Properties=species:S:1:pos:R:3 pbc="T T T"
Y 0.000 1.989 3.979
Y 0.000 5.968 3.979
Y 1.989 3.979 0.000
Y 3.979 0.000 1.989
Y 3.979 0.000 5.968
Y 5.968 3.979 0.000
Si 0.000 3.979 1.989
Si 0.000 3.979 5.968
Si 1.989 0.000 3.979
Si 3.979 1.989 0.000
Si 3.979 5.968 0.000
Si 5.968 0.000 3.979
```

## Properties
DOS(E_F) = 17.018 states/eV per cell


5.
A relaxed structure of Ba3YPt. Source: Alexandria via LeMat-Bulk, functional GGA-PBE.

The structure in extended XYZ format:
```
5
Lattice="6.221 0.000 0.000 0.000 6.221 0.000 0.000 0.000 6.221" Properties=species:S:1:pos:R:3 pbc="T T T"
Ba 0.000 0.000 3.110
Ba 0.000 3.110 0.000
Ba 3.110 0.000 0.000
Y 3.110 3.110 3.110
Pt 0.000 0.000 0.000
```

## Properties
formation enthalpy at 0 K = -0.1161 eV per atom
DOS(E_F) = 3.463 states/eV per cell


6.
A relaxed structure of Ce2Te3Au. Source: Alexandria via LeMat-Bulk, functional GGA-PBE.

The structure in extended XYZ format:
```
24
Lattice="13.006 0.000 0.000 0.000 4.454 0.000 0.000 0.000 12.278" Properties=species:S:1:pos:R:3 pbc="T T T"
Ce 0.202 1.113 2.197
Ce 2.600 1.113 5.989
Ce 3.903 3.340 12.127
Ce 6.301 3.340 8.336
Ce 6.704 1.113 3.942
Ce 9.102 1.113 0.150
Ce 10.406 3.340 6.289
Ce 12.804 3.340 10.081
Te 0.576 3.340 4.690
Te 1.588 1.113 11.547
Te 2.566 3.340 8.440
Te 3.937 1.113 2.301
Te 4.915 3.340 5.408
Te 5.927 1.113 10.829
Te 7.078 3.340 1.449
Te 8.090 1.113 6.869
Te 9.068 3.340 9.976
Te 10.440 1.113 3.837
Te 11.418 3.340 0.730
Te 12.430 1.113 7.588
Au 2.160 3.340 2.289
Au 4.343 1.113 8.428
Au 8.663 3.340 3.850
Au 10.846 1.113 9.989
```

## Properties
DOS(E_F) = 43.285 states/eV per cell


7.
A relaxed structure of KRbZnO2. Source: Alexandria via LeMat-Bulk, functional GGA-PBE.

The structure in extended XYZ format:
```
10
Lattice="5.710 0.000 0.000 0.000 6.822 0.000 0.000 0.000 5.658" Properties=species:S:1:pos:R:3 pbc="T T T"
K 1.427 0.000 0.000
K 4.282 0.000 5.657
Rb 1.427 3.411 1.788
Rb 4.282 3.411 3.870
Zn 0.000 0.000 2.829
Zn 2.855 0.000 2.829
O 1.427 1.350 3.521
O 1.427 5.472 3.521
O 4.282 1.350 2.137
O 4.282 5.472 2.137
```


8.
A relaxed structure of Hf2V. Source: Alexandria via LeMat-Bulk, functional GGA-PBE.

The structure in extended XYZ format:
```
3
Lattice="-1.657 1.657 5.282 1.657 -1.657 5.282 1.657 1.657 -5.282" Properties=species:S:1:pos:R:3 pbc="T T T"
Hf 0.000 0.000 1.591
Hf 0.000 0.000 8.972
V 0.000 0.000 5.282
```

## Properties
formation enthalpy at 0 K = 0.1517 eV per atom
DOS(E_F) = 4.778 states/eV per cell


9.
A relaxed structure of CsAg2BrCl2. Source: Alexandria via LeMat-Bulk, functional GGA-PBE.

The structure in extended XYZ format:
```
12
Lattice="8.175 0.000 0.000 0.000 5.951 0.000 -2.735 0.000 8.215" Properties=species:S:1:pos:R:3 pbc="T T T"
Cs 0.459 1.488 2.821
Cs 4.982 4.464 5.394
Ag 0.786 0.006 6.796
Ag 0.786 2.970 6.796
Ag 4.654 2.981 1.419
Ag 4.654 5.946 1.419
Br 2.367 4.464 0.692
Br 3.074 1.488 7.523
Cl -1.221 1.488 6.034
Cl 1.524 4.464 4.815
Cl 3.917 1.488 3.400
Cl 6.661 4.464 2.181
```

## Properties
DOS(E_F) = 0.000 states/eV per cell


10.
A relaxed structure of SrLa2Th. Source: Alexandria via LeMat-Bulk, functional GGA-PBE.

The structure in extended XYZ format:
```
4
Lattice="3.724 0.000 0.000 0.000 3.724 0.000 0.000 0.000 11.239" Properties=species:S:1:pos:R:3 pbc="T T T"
Sr 0.000 0.000 0.000
La 1.862 1.862 3.221
La 1.862 1.862 8.018
Th 0.000 0.000 5.620
```

## Properties
formation enthalpy at 0 K = 0.0586 eV per atom
DOS(E_F) = 5.890 states/eV per cell


11.
A relaxed structure of Rb2NbCl6F. Source: Alexandria via LeMat-Bulk, functional GGA-PBE.

The structure in extended XYZ format:
```
10
Lattice="0.000 5.271 5.271 5.271 0.000 5.271 5.271 5.271 0.000" Properties=species:S:1:pos:R:3 pbc="T T T"
Rb 2.636 2.636 2.636
Rb 7.907 7.907 7.907
Nb 0.000 0.000 0.000
Cl 5.271 5.271 2.397
Cl 5.271 2.397 5.271
Cl 8.145 5.271 5.271
Cl 2.397 5.271 5.271
Cl 5.271 8.145 5.271
Cl 5.271 5.271 8.145
F 5.271 5.271 5.271
```

## Properties
DOS(E_F) = 0.000 states/eV per cell


12.
A relaxed structure of Be4ZnSi. Source: Alexandria via LeMat-Bulk, functional GGA-PBE.

The structure in extended XYZ format:
```
6
Lattice="0.000 3.141 3.141 3.141 0.000 3.141 3.141 3.141 0.000" Properties=species:S:1:pos:R:3 pbc="T T T"
Be 0.788 0.788 0.788
Be 2.353 2.353 0.788
Be 2.353 0.788 2.353
Be 0.788 2.353 2.353
Zn 4.712 4.712 4.712
Si 3.141 3.141 3.141
```

## Properties
DOS(E_F) = 2.237 states/eV per cell


13.
A relaxed structure of AcPuHgO6. Source: Alexandria via LeMat-Bulk, functional GGA-PBE.

The structure in extended XYZ format:
```
18
Lattice="5.747 0.000 0.000 -2.873 4.977 0.000 0.000 0.000 10.690" Properties=species:S:1:pos:R:3 pbc="T T T"
Ac 0.000 0.000 0.000
Ac 0.000 0.000 5.345
Pu 0.000 3.318 2.673
Pu 2.873 1.659 8.018
Hg 0.000 3.318 8.018
Hg 2.873 1.659 2.673
O -0.798 1.876 1.488
O -1.648 3.348 3.857
O 0.798 1.876 3.857
O -0.850 4.730 1.488
O 2.023 0.247 6.833
O 1.225 1.629 9.202
O 1.648 3.348 1.488
O 0.850 4.730 3.857
O 3.723 0.247 9.202
O 2.075 3.101 6.833
O 4.521 1.629 6.833
O 3.671 3.101 9.202
```


14.
A relaxed structure of Cd2RuAu. Source: Alexandria via LeMat-Bulk, functional GGA-PBE.

The structure in extended XYZ format:
```
4
Lattice="0.000 3.295 3.295 3.295 0.000 3.295 3.295 3.295 0.000" Properties=species:S:1:pos:R:3 pbc="T T T"
Cd 1.648 1.648 1.648
Cd 4.943 4.943 4.943
Ru 0.000 0.000 0.000
Au 3.295 3.295 3.295
```

## Properties
formation enthalpy at 0 K = 0.1917 eV per atom
DOS(E_F) = 1.228 states/eV per cell


15.
A relaxed structure of MgCo2Cl6. Source: Alexandria via LeMat-Bulk, functional GGA-PBE.

The structure in extended XYZ format:
```
9
Lattice="6.080 -1.863 0.000 6.080 1.863 0.000 -1.260 0.000 10.317" Properties=species:S:1:pos:R:3 pbc="T T T"
Mg 0.000 0.000 0.000
Co 3.223 0.000 2.670
Co 7.676 0.000 7.647
Cl 1.034 0.000 2.254
Cl 1.063 0.000 6.464
Cl 4.490 0.000 0.726
Cl 6.409 0.000 9.591
Cl 9.836 0.000 3.853
Cl 9.865 0.000 8.063
```

## Properties
DOS(E_F) = 0.336 states/eV per cell


16.
A relaxed structure of Cs2MgPd3F12. Source: Alexandria via LeMat-Bulk, functional GGA-PBE.

The structure in extended XYZ format:
```
18
Lattice="3.944 2.277 5.944 -3.944 2.277 5.944 0.000 -4.554 5.944" Properties=species:S:1:pos:R:3 pbc="T T T"
Cs 0.000 0.000 2.395
Cs 0.000 0.000 15.436
Mg 0.000 0.000 8.916
Pd -1.972 -1.138 5.944
Pd -1.972 1.138 11.887
Pd 0.000 2.277 5.944
F 0.000 -1.717 5.472
F -1.487 0.859 5.472
F -1.495 -0.863 7.880
F 0.000 -1.726 9.952
F -1.495 0.863 9.952
F -1.487 -0.859 12.359
F 1.487 0.859 5.472
F 1.495 -0.863 7.880
F 0.000 1.726 7.880
F 1.495 0.863 9.952
F 1.487 -0.859 12.359
F 0.000 1.717 12.359
```

## Properties
DOS(E_F) = 3.613 states/eV per cell


17.
A relaxed structure of PrMg3Pd2. Source: Alexandria via LeMat-Bulk, functional GGA-PBE.

The structure in extended XYZ format:
```
18
Lattice="9.063 -2.066 0.000 9.063 2.066 0.000 -2.928 0.000 10.391" Properties=species:S:1:pos:R:3 pbc="T T T"
Pr 0.000 0.000 0.000
Pr 0.774 0.000 7.351
Pr 14.425 0.000 3.040
Mg -0.164 0.000 3.521
Mg 2.755 0.000 4.169
Mg 5.784 0.000 0.288
Mg 4.456 0.000 8.171
Mg 7.600 0.000 5.195
Mg 10.743 0.000 2.220
Mg 9.416 0.000 10.103
Mg 12.444 0.000 6.222
Mg 15.363 0.000 6.870
Pd 3.308 0.000 1.524
Pd 5.031 0.000 5.514
Pd 7.862 0.000 2.146
Pd 7.338 0.000 8.245
Pd 10.168 0.000 4.877
Pd 11.892 0.000 8.867
```

## Properties
formation enthalpy at 0 K = -0.5351 eV per atom
DOS(E_F) = 9.702 states/eV per cell


18.
A relaxed structure of AlSiIr. Source: Alexandria via LeMat-Bulk, functional GGA-PBE.

The structure in extended XYZ format:
```
3
Lattice="-1.542 1.793 3.827 1.542 -1.793 3.827 1.542 1.793 -3.827" Properties=species:S:1:pos:R:3 pbc="T T T"
Al 0.000 0.000 0.000
Si 0.000 0.000 2.489
Ir 0.000 0.000 5.091
```

## Properties
DOS(E_F) = 1.506 states/eV per cell


19.
A relaxed structure of Fe2Cu2Tc. Source: Alexandria via LeMat-Bulk, functional GGA-PBE.

The structure in extended XYZ format:
```
10
Lattice="6.701 0.000 0.000 0.000 6.701 0.000 0.000 0.000 2.663" Properties=species:S:1:pos:R:3 pbc="T T T"
Fe 1.146 2.205 0.000
Fe 2.205 5.556 0.000
Fe 4.496 1.146 0.000
Fe 5.556 4.496 0.000
Cu 0.855 4.206 1.332
Cu 2.496 0.855 1.332
Cu 4.206 5.847 1.332
Cu 5.847 2.496 1.332
Tc 0.000 0.000 1.332
Tc 3.351 3.351 1.332
```

## Properties
formation enthalpy at 0 K = 0.5474 eV per atom
DOS(E_F) = 18.041 states/eV per cell


20.
A relaxed structure of MoIr4Pt. Source: Alexandria via LeMat-Bulk, functional GGA-PBE.

The structure in extended XYZ format:
```
6
Lattice="0.000 3.622 3.622 3.622 0.000 3.622 3.622 3.622 0.000" Properties=species:S:1:pos:R:3 pbc="T T T"
Mo 0.000 0.000 0.000
Ir 4.527 2.717 2.717
Ir 2.717 4.527 2.717
Ir 2.717 2.717 4.527
Ir 4.527 4.527 4.527
Pt 1.811 1.811 1.811
```

## Properties
formation enthalpy at 0 K = 0.3186 eV per atom
DOS(E_F) = 8.609 states/eV per cell


Number 1: E -40.11 eV/cell, total magnetization 0.0 Bohr magnetons per cell. Number 2: E -55.14 eV/cell, total magnetization 0.0 Bohr magnetons per cell. Number 3: E -105.86 eV/cell, total magnetization 0.0 Bohr magnetons per cell. Number 4: E -66.75 eV/cell, total magnetization 0.0 Bohr magnetons per cell. Number 5: E -18.85 eV/cell, total magnetization 0.0 Bohr magnetons per cell. Number 6: E -124.97 eV/cell, total magnetization 4.3 Bohr magnetons per cell. Number 7: E -35.92 eV/cell, total magnetization 0.0 Bohr magnetons per cell. Number 8: E -28.57 eV/cell, total magnetization 1.0 Bohr magnetons per cell. Number 9: E -34.92 eV/cell, total magnetization 0.0 Bohr magnetons per cell. Number 10: E -18.72 eV/cell, total magnetization 0.0 Bohr magnetons per cell. Number 11: E -40.02 eV/cell, total magnetization 0.0 Bohr magnetons per cell. Number 12: E -20.09 eV/cell, total magnetization 0.0 Bohr magnetons per cell. Number 13: E -135.68 eV/cell, total magnetization 2.0 Bohr magnetons per cell. Number 14: E -13.62 eV/cell, total magnetization 0.0 Bohr magnetons per cell. Number 15: E -35.39 eV/cell, total magnetization 6.0 Bohr magnetons per cell. Number 16: E -77.90 eV/cell, total magnetization 0.0 Bohr magnetons per cell. Number 17: E -69.48 eV/cell, total magnetization 0.0 Bohr magnetons per cell. Number 18: E -19.32 eV/cell, total magnetization 0.0 Bohr magnetons per cell. Number 19: E -65.49 eV/cell, total magnetization 0.0 Bohr magnetons per cell. Number 20: E -50.40 eV/cell, total magnetization 0.0 Bohr magnetons per cell.